A plane-wave DFT calculation with PBE was carried out for a relaxed structure of MnCoRh.

Symmetry: F-43m

a = 4.0334 Å, b = 4.0334 Å, c = 4.0334 Å
α = 60.00°, β = 60.00°, γ = 60.00°
Sites, in units of the cell vectors:
Mn  0.0000  0.0000  0.0000
Co  0.7500  0.7500  0.7500
Rh  0.5000  0.5000  0.5000

***

A plane-wave DFT calculation with PBE was carried out for a relaxed structure of SrCo2Pt2.

Symmetry: I4/mmm

a = 6.1656 Å, b = 6.1656 Å, c = 6.1656 Å
α = 140.49°, β = 140.49°, γ = 57.11°
Sites, in units of the cell vectors:
Sr  0.0000  0.0000  0.0000
Co  0.2500  0.7500  0.5000
Co  0.7500  0.2500  0.5000
Pt  0.3789  0.3789  0.0000
Pt  0.6211  0.6211  0.0000

***

Sequential ΔE_f output: 431 -144 meV/atom
Sequential V output: 15.5 18.8 Å³/atom